{
  "formula": "NaNpTl2Br8",
  "functional": "PBE-GGA",
  "state": "optimized geometry",
  "cell": [[7.0645, 0.0000, 0.0000], [0.0000, 9.3022, 0.0000], [-0.4094, 0.0000, 7.4098]],
  "species": ["Na", "Np", "Tl", "Tl", "Br", "Br", "Br", "Br", "Br", "Br", "Br", "Br"],
  "fractional_positions": [[0.0000, 0.0000, 0.0000], [0.0000, 0.5000, 0.0000], [0.5000, 0.2335, 0.5000], [0.5000, 0.7665, 0.5000], [0.1990, 0.5000, 0.3191], [0.2277, 0.2908, 0.8771], [0.2277, 0.7092, 0.8771], [0.2561, 0.0000, 0.3127], [0.7439, 0.0000, 0.6873], [0.7723, 0.2908, 0.1229], [0.7723, 0.7092, 0.1229], [0.8010, 0.5000, 0.6809]],
  "formation_energy_uncorrected_ev_per_atom": -1.058
}

***

{
  "formula": "Ti3AlRe",
  "functional": "PBE-GGA",
  "state": "optimized geometry",
  "cell": [[4.5406, 0.0000, 0.0000], [0.0000, 4.5406, 0.0000], [0.0000, 0.0000, 4.5406]],
  "species": ["Ti", "Ti", "Ti", "Al", "Re"],
  "fractional_positions": [[0.0000, 0.0000, 0.5000], [0.0000, 0.5000, 0.0000], [0.5000, 0.0000, 0.0000], [0.0000, 0.0000, 0.0000], [0.5000, 0.5000, 0.5000]],
  "e_above_lowest_polymorph_mev_per_atom": 1560,
  "ef_ev_per_atom": 1.202
}

***

{
  "formula": "NdPaHgPd",
  "functional": "PBE-GGA",
  "state": "optimized geometry",
  "cell": [[0.0000, 3.6729, 3.6729], [3.6729, 0.0000, 3.6729], [3.6729, 3.6729, 0.0000]],
  "species": ["Nd", "Pa", "Hg", "Pd"],
  "fractional_positions": [[0.0000, 0.0000, 0.0000], [0.5000, 0.5000, 0.5000], [0.7500, 0.7500, 0.7500], [0.2500, 0.2500, 0.2500]],
  "ef_ev_per_atom": -0.187
}